The following is a DFT calculation (PBE) of a geometry-optimized CsMnTe2 structure.

For the uncorrected energy, the calculation gives -36.75 eV per cell. For the formation energy without anion corrections, the calculation gives -2.07 eV/f.u.

It has space group Pm (No. 6), with a = 6.9398 Å, b = 4.0285 Å, c = 11.0154 Å, α = 90.00°, β = 104.79° and γ = 90.00°. Symmetry generates all atoms from Cs at (0.0000, 0.0000, 0.0000), Cs at (0.3614, 0.0000, 0.6594), Mn at (0.5932, 0.5000, 0.2111), Mn at (0.8218, 0.0000, 0.4709), Te at (0.4387, 0.0000, 0.3177), Te at (0.4915, 0.5000, 0.9680), Te at (0.8411, 0.5000, 0.6412) and Te at (0.9750, 0.5000, 0.3497).

=====

The following is a DFT calculation (PBE) of a geometry-optimized DyTmZnIr structure.

The calculation puts the energy of formation from the pure elements at -2.6 eV/f.u. For the uncorrected energy, the calculation gives -87.38 eV per cell.

It has space group F-43m (No. 216), with a = 6.9185 Å, b = 6.9185 Å, c = 6.9185 Å, α = 90.00°, β = 90.00° and γ = 90.00°. Symmetry generates all atoms from Dy at (0.0000, 0.0000, 0.0000), Tm at (0.0000, 0.0000, 0.5000), Zn at (0.2500, 0.2500, 0.7500) and Ir at (0.2500, 0.2500, 0.2500).

=====

The following is a DFT calculation (PBE) of a geometry-optimized Rb2CaCuF6 structure.

For the uncorrected energy, the calculation gives -93.45 eV per cell. For the formation energy without anion corrections, the calculation gives -27.46 eV/f.u.

It has space group I4/mmm (No. 139), with a = 6.2024 Å, b = 6.2024 Å, c = 8.4445 Å, α = 90.00°, β = 90.00° and γ = 90.00°. Symmetry generates all atoms from Rb at (0.0000, 0.5000, 0.2500), Ca at (0.0000, 0.0000, 0.0000), Cu at (0.0000, 0.0000, 0.5000), F at (0.0000, 0.0000, 0.2693) and F at (0.2438, 0.2438, 0.5000).

=====

The following is a DFT calculation (PBE) of a geometry-optimized Ac2HgPb5 structure.

The calculation puts the energy of formation from the pure elements at -3.4 eV/f.u. For the uncorrected energy, the calculation gives -60.87 eV per cell.

It has space group Pbam (No. 55), with a = 7.1145 Å, b = 14.2564 Å, c = 5.0144 Å, α = 90.00°, β = 90.00° and γ = 90.00°. Symmetry generates all atoms from Ac at (0.2452, 0.1241, 0.0000), Hg at (0.0000, 0.0000, 0.5000), Pb at (0.0004, 0.2511, 0.5000), Pb at (0.0000, 0.5000, 0.5000) and Pb at (0.2478, 0.3750, 0.0000).

=====

The following is a DFT calculation (PBE) of a geometry-optimized Sm2Au2O7 structure.

For the uncorrected energy, the calculation gives -540.36 eV per cell. For the formation energy without anion corrections, the calculation gives -16.85 eV/f.u.

It has space group Fd-3m (No. 227, origin choice 2), with a = 10.6379 Å, b = 10.6379 Å, c = 10.6379 Å, α = 90.00°, β = 90.00° and γ = 90.00°. Symmetry generates all atoms from Sm at (0.0000, 0.0000, 0.0000), Au at (0.0000, 0.0000, 0.5000), O at (0.0919, 0.3750, 0.8750) and O at (0.1250, 0.1250, 0.1250).

=====

The following is a DFT calculation (PBE) of a geometry-optimized Pr5AlZn2 structure.

The calculation puts the energy of formation from the pure elements at -1.6 eV/f.u. For the uncorrected energy, the calculation gives -127.08 eV per cell.

It has space group I4/mcm (No. 140), with a = 7.7354 Å, b = 7.7354 Å, c = 15.6248 Å, α = 90.00°, β = 90.00° and γ = 90.00°. Symmetry generates all atoms from Pr at (0.0000, 0.0000, 0.0000), Pr at (0.1679, 0.3321, 0.1515), Al at (0.0000, 0.0000, 0.2500) and Zn at (0.1183, 0.3817, 0.5000).

=====

The following is a DFT calculation (PBE) of a geometry-optimized TaNb3W4 structure.

The calculation puts the energy of formation from the pure elements at -0.5 eV/f.u. For the uncorrected energy, the calculation gives -94.39 eV per cell. The distance to the lowest polymorph of the same formula comes out at 0.000 eV/atom.

It has space group Pmmm (No. 47), with a = 3.2450 Å, b = 4.5827 Å, c = 9.1641 Å, α = 90.00°, β = 90.00° and γ = 90.00°. Symmetry generates all atoms from Ta at (0.0000, 0.0000, 0.0000), Nb at (0.0000, 0.0000, 0.5000), Nb at (0.0000, 0.5000, 0.2494), W at (0.5000, 0.0000, 0.2501), W at (0.5000, 0.5000, 0.0000) and W at (0.5000, 0.5000, 0.5000).

=====

The following is a DFT calculation (PBE) of a geometry-optimized NaPm2TiO6 structure.

For the uncorrected energy, the calculation gives -75.20 eV per cell. For the formation energy without anion corrections, the calculation gives -26.73 eV/f.u.

It has space group P4mm (No. 99), with a = 5.4533 Å, b = 5.4533 Å, c = 5.0528 Å, α = 90.00°, β = 90.00° and γ = 90.00°. Symmetry generates all atoms from Na at (0.0000, 0.0000, 0.0000), Pm at (0.0000, 0.5000, 0.4193), Ti at (0.5000, 0.5000, 0.0390), O at (0.0000, 0.0000, 0.5665), O at (0.2655, 0.2655, 0.1729) and O at (0.5000, 0.5000, 0.6770).

=====

| no. | density of states at the Fermi level (states/eV/f.u.) |
| --- | --- |
| 1 | 1.35 |
| 2 | 2.79 |
| 3 | 4.83 |
| 4 | 3.81 |
| 5 | 7.43 |
| 6 | 8.94 |
| 7 | 6.08 |
| 8 | 3.22 |